Record 1
This record from the Alexandria database describes crystalline CuBRu3 at its relaxed geometry. The functional is PBE.

```
CuBRu3
1.0
4.438 0.000 0.000
0.000 4.438 0.000
0.000 0.000 4.438
Cu B Ru
1 1 3
direct
0.000 0.000 0.000 Cu
0.500 0.500 0.500 B
0.000 0.000 0.500 Ru
0.000 0.500 0.000 Ru
0.500 0.000 0.000 Ru
```

Results
The total moment is 4.7 μB per formula unit. Its symmetry is Pm-3m. The formation energy is 2.42 eV per atom. For the energy, the calculation gives -0.1947 hartree per atom. The offset from the most stable computed form is 2074 meV per atom.

=====

Record 2
This record from the Alexandria database describes crystalline Cu3BRu at its relaxed geometry. The functional is PBE.

```
Cu3BRu
1.0
4.019 0.000 0.000
-1.440 3.979 0.000
-1.374 -0.844 7.230
Cu B Ru
6 2 2
direct
0.002 0.094 0.334 Cu
0.334 0.533 0.743 Cu
0.334 0.710 0.435 Cu
0.666 0.290 0.565 Cu
0.666 0.467 0.257 Cu
0.998 0.906 0.666 Cu
0.313 0.312 0.999 B
0.687 0.688 0.001 B
0.242 0.809 0.080 Ru
0.758 0.191 0.920 Ru
```

Results
The total moment is 0.0 μB per formula unit. Its symmetry is P-1. The formation energy is 0.04 eV per atom. For the energy, the calculation gives -0.2060 hartree per atom. The offset from the most stable computed form is 93 meV per atom.

=====

Record 3
This record from the Alexandria database describes crystalline CuBRu3 at its relaxed geometry. The functional is PBE.

```
CuBRu3
1.0
4.044 0.000 0.000
0.000 4.044 0.000
0.000 0.000 4.044
Cu B Ru
1 1 3
direct
0.000 0.000 0.000 Cu
0.500 0.500 0.500 B
0.000 0.500 0.500 Ru
0.500 0.000 0.500 Ru
0.500 0.500 0.000 Ru
```

Results
The total moment is 1.6 μB per formula unit. Its symmetry is Pm-3m. The formation energy is 0.35 eV per atom. For the energy, the calculation gives -0.2709 hartree per atom. The offset from the most stable computed form is 0 meV per atom.

=====

Record 4
This record from the Alexandria database describes crystalline Cu3BRu at its relaxed geometry. The functional is PBE.

```
Cu3BRu
1.0
-1.447 7.858 2.466
1.447 -7.858 2.466
1.447 7.858 -2.466
Cu B Ru
6 2 2
direct
0.000 0.000 0.000 Cu
0.131 0.744 0.387 Cu
0.357 0.744 0.613 Cu
0.490 0.490 0.000 Cu
0.640 0.245 0.395 Cu
0.849 0.245 0.605 Cu
0.347 0.521 0.825 B
0.696 0.521 0.175 B
0.196 0.964 0.232 Ru
0.732 0.964 0.768 Ru
```

Results
The total moment is 0.0 μB per formula unit. Its symmetry is Imm2. The formation energy is 0.04 eV per atom. For the energy, the calculation gives -0.2060 hartree per atom. The offset from the most stable computed form is 95 meV per atom.

=====

Record 5
This record from the Alexandria database describes crystalline Cu3BRu at its relaxed geometry. The functional is PBE.

```
Cu3BRu
1.0
4.631 0.000 0.000
0.000 4.631 0.000
0.000 0.000 4.631
Cu B Ru
3 1 1
direct
0.000 0.000 0.500 Cu
0.000 0.500 0.000 Cu
0.500 0.000 0.000 Cu
0.500 0.500 0.500 B
0.000 0.000 0.000 Ru
```

Results
The total moment is 1.8 μB per formula unit. Its symmetry is Pm-3m. The formation energy is 2.11 eV per atom. For the energy, the calculation gives -0.1300 hartree per atom. The offset from the most stable computed form is 2162 meV per atom.

=====

Record 6
This record from the Alexandria database describes crystalline Cu3BRu at its relaxed geometry. The functional is PBE.

```
Cu3BRu
1.0
2.896 0.000 0.000
0.000 3.019 0.000
-1.448 0.000 12.768
Cu B Ru
6 2 2
direct
0.115 0.250 0.233 Cu
0.223 0.250 0.447 Cu
0.332 0.250 0.663 Cu
0.668 0.750 0.337 Cu
0.777 0.750 0.553 Cu
0.885 0.750 0.767 Cu
0.021 0.250 0.042 B
0.979 0.750 0.958 B
0.451 0.250 0.900 Ru
0.549 0.750 0.100 Ru
```

Results
The total moment is 0.0 μB per formula unit. Its symmetry is P2_1/m. The formation energy is -0.05 eV per atom. For the energy, the calculation gives -0.2094 hartree per atom. The offset from the most stable computed form is 0 meV per atom.

=====

Record 7
This record from the Alexandria database describes crystalline ScCuBRu2 at its relaxed geometry. The functional is PBE.

```
ScCuBRu2
1.0
4.169 0.000 0.000
0.000 4.169 0.000
0.000 0.000 3.915
Sc Cu B Ru
1 1 1 2
direct
0.000 0.000 0.000 Sc
0.500 0.500 0.000 Cu
0.500 0.500 0.500 B
0.000 0.500 0.500 Ru
0.500 0.000 0.500 Ru
```

Results
The total moment is 0.5 μB per formula unit. Its symmetry is P4/mmm. The formation energy is -0.30 eV per atom. For the energy, the calculation gives -0.2732 hartree per atom.

=====

Record 8
This record from the Alexandria database describes crystalline Sc2CuB2Ru5 at its relaxed geometry. The functional is PBE.

```
Sc2CuB2Ru5
1.0
9.329 0.000 0.000
0.000 9.329 0.000
0.000 0.000 3.029
Sc Cu B Ru
4 2 4 10
direct
0.174 0.326 0.000 Sc
0.326 0.826 0.000 Sc
0.674 0.174 0.000 Sc
0.826 0.674 0.000 Sc
0.000 0.000 0.000 Cu
0.500 0.500 0.000 Cu
0.126 0.626 0.000 B
0.374 0.126 0.000 B
0.626 0.874 0.000 B
0.874 0.374 0.000 B
0.000 0.500 0.500 Ru
0.072 0.787 0.500 Ru
0.213 0.072 0.500 Ru
0.287 0.572 0.500 Ru
0.428 0.287 0.500 Ru
0.500 0.000 0.500 Ru
0.572 0.713 0.500 Ru
0.713 0.428 0.500 Ru
0.787 0.928 0.500 Ru
0.928 0.213 0.500 Ru
```

Results
The total moment is 0.0 μB per formula unit. Its symmetry is P4/mbm. The formation energy is -0.41 eV per atom. For the energy, the calculation gives -0.2963 hartree per atom.

=====

Q: Among the records above, which one has the highest energy?
A: number 5

=====

Q: Which of these has the highest energy?
A: number 5

=====

Copy entry 7 word for word.
This record from the Alexandria database describes crystalline ScCuBRu2 at its relaxed geometry. The functional is PBE.

```
ScCuBRu2
1.0
4.169 0.000 0.000
0.000 4.169 0.000
0.000 0.000 3.915
Sc Cu B Ru
1 1 1 2
direct
0.000 0.000 0.000 Sc
0.500 0.500 0.000 Cu
0.500 0.500 0.500 B
0.000 0.500 0.500 Ru
0.500 0.000 0.500 Ru
```

Results
The total moment is 0.5 μB per formula unit. Its symmetry is P4/mmm. The formation energy is -0.30 eV per atom. For the energy, the calculation gives -0.2732 hartree per atom.